one) # GdHg2Pb

Crystalline GdHg2Pb at its relaxed geometry (GGA-PBE, Alexandria via LeMat-Bulk).

Cell and atoms, written as POSCAR:
```
GdHg2Pb
1.0
-2.224 2.232 2.015
-2.971 -2.014 -1.048
0.942 -4.555 6.083
Gd Pb Hg
1 1 2
direct
0.500 0.500 0.000
0.500 0.500 0.500
0.000 0.000 0.242
0.000 0.000 0.758
```

Volume ... 107.1 Å³ per cell
Density of states at the Fermi level ... 0.762 states/eV per atom

***

two) # GdHg2Pb

Crystalline GdHg2Pb at its relaxed geometry (GGA-PBE, Alexandria via LeMat-Bulk).

Cell and atoms, written as POSCAR:
```
GdHg2Pb
1.0
-0.956 1.416 5.026
3.567 -1.069 3.783
2.776 3.942 2.221
Hg Gd Pb
2 1 1
direct
0.750 0.750 0.750
0.250 0.250 0.250
0.000 0.000 0.000
0.500 0.500 0.500
```

Volume ... 105.8 Å³ per cell
Density of states at the Fermi level ... 1.003 states/eV per atom

***

It is one) that is most stable; the runner-up trails by 7 meV per atom.

***

one) # GdHgPb2

Crystalline GdHgPb2 at its relaxed geometry (GGA-PBE, Alexandria via LeMat-Bulk).

Cell and atoms, written as POSCAR:
```
GdHgPb2
1.0
-2.331 2.371 -1.279
-0.096 0.697 -3.492
-8.390 -7.204 -3.025
Gd Pb Hg
1 2 1
direct
0.000 0.000 0.000
0.907 0.907 0.280
0.093 0.093 0.720
0.500 0.500 0.500
```

Volume ... 124.0 Å³ per cell
Density of states at the Fermi level ... 0.928 states/eV per atom

***

two) # GdHgPb2

Crystalline GdHgPb2 at its relaxed geometry (GGA-PBE, Alexandria via LeMat-Bulk).

Cell and atoms, written as POSCAR:
```
GdHgPb2
1.0
-2.603 2.052 3.194
-3.956 -2.182 -1.822
0.702 -3.775 2.997
Gd Pb Hg
1 2 1
direct
0.500 0.500 0.500
0.000 0.000 0.500
0.000 0.500 0.000
0.500 0.000 0.000
```

Volume ... 109.2 Å³ per cell
Density of states at the Fermi level ... 0.500 states/eV per atom

***

It is two) that is most stable; the runner-up trails by 455 meV per atom.

***

one) # GdHgPb

Crystalline GdHgPb at its relaxed geometry (GGA-PBE, Alexandria via LeMat-Bulk).

Cell and atoms, written as POSCAR:
```
GdHgPb
1.0
-0.677 3.639 -0.268
-2.869 -0.363 2.325
5.434 -0.613 3.649
Hg Pb Gd
1 1 1
direct
0.280 0.280 0.560
0.941 0.941 0.882
0.629 0.629 0.258
```

Volume ... 83.0 Å³ per cell
Density of states at the Fermi level ... 1.100 states/eV per atom

***

two) # GdHgPb

Crystalline GdHgPb at its relaxed geometry (GGA-PBE, Alexandria via LeMat-Bulk).

Cell and atoms, written as POSCAR:
```
GdHgPb
1.0
-2.523 -1.471 2.492
3.750 -1.279 3.042
-2.165 4.479 0.451
Pb Hg Gd
1 1 1
direct
0.044 0.000 0.000
0.322 0.333 0.667
0.633 0.667 0.333
```

Volume ... 83.0 Å³ per cell
Density of states at the Fermi level ... 0.733 states/eV per atom

***

three) # GdHgPb

Crystalline GdHgPb at its relaxed geometry (GGA-PBE, Alexandria via LeMat-Bulk).

Cell and atoms, written as POSCAR:
```
GdHgPb
1.0
-4.597 2.023 0.427
-3.420 -0.725 -3.632
-3.989 -2.963 0.848
Hg Gd Pb
1 1 1
direct
0.250 0.250 0.250
0.500 0.500 0.500
0.000 0.000 0.000
```

Volume ... 90.6 Å³ per cell
Density of states at the Fermi level ... 1.392 states/eV per atom

***

It is two) that is most stable; the runner-up trails by 43 meV per atom.